DFT (PBE) results for LiTi5Ga8 after structural relaxation.

```
LiTi5Ga8
1.0
-3.8700 3.8700 3.8572
3.8700 -3.8700 3.8572
3.8700 3.8700 -3.8572
Li Ti Ga
1 5 8
Cartesian
0.0000 0.0000 0.0000
3.0083 2.3550 -0.7065
3.8700 0.0000 1.9286
1.5151 -0.8617 4.5636
0.8617 1.5151 3.1507
2.3550 4.7318 0.7065
1.3783 -0.8759 1.9269
2.4917 4.7459 -1.9303
0.4764 2.6184 0.5220
2.9942 2.4917 1.9303
-0.4764 5.1217 0.5220
-1.2517 3.3937 3.3352
0.8759 1.3783 5.7875
1.2517 4.3464 3.3352
```

Computed properties:
Symmetry: I-4, No. 82
Formation enthalpy at 0 K in meV per atom: -273

***

DFT (PBE) results for LiTi2Ga2 after structural relaxation.

```
LiTi2Ga2
1.0
7.9375 0.0000 0.0000
0.0000 7.9375 0.0000
0.0000 0.0000 2.7872
Li Ti Ga
2 4 4
Cartesian
0.0000 0.0000 0.0000
3.9688 3.9688 0.0000
0.9559 3.0128 0.0000
3.0128 6.9816 0.0000
4.9247 0.9559 0.0000
6.9816 4.9247 0.0000
1.4090 5.3778 1.3936
2.5597 1.4090 1.3936
5.3778 6.5285 1.3936
6.5285 2.5597 1.3936
```

Computed properties:
Energy above the lowest structure with this stoichiometry in meV per atom: 35
Symmetry: P4/mbm, No. 127
Formation enthalpy at 0 K in meV per atom: -210

***

DFT (PBE) results for LiTiGa3 after structural relaxation.

```
LiTiGa3
1.0
5.0001 0.0000 0.0000
0.0000 5.0001 0.0000
0.0000 0.0000 5.0001
Li Ti Ga
1 1 3
Cartesian
0.0000 0.0000 0.0000
2.5001 2.5001 2.5001
0.0000 2.5001 2.5001
2.5001 0.0000 2.5001
2.5001 2.5001 0.0000
```

Computed properties:
Energy above the lowest structure with this stoichiometry in meV per atom: 0
Symmetry: Pm-3m, No. 221
Formation enthalpy at 0 K in meV per atom: 284

***

DFT (PBE) results for Li2TiGa2 after structural relaxation.

```
Li2TiGa2
1.0
7.3517 0.0000 0.0000
0.0000 7.3517 0.0000
0.0000 0.0000 2.8834
Li Ti Ga
4 2 4
Cartesian
1.2217 2.4542 0.0000
2.4542 6.1300 0.0000
4.8975 1.2217 0.0000
6.1300 4.8975 0.0000
0.0000 0.0000 1.4417
3.6758 3.6758 1.4417
0.9875 4.6633 1.4417
2.6884 0.9875 1.4417
4.6633 6.3642 1.4417
6.3642 2.6884 1.4417
```

Computed properties:
Energy above the lowest structure with this stoichiometry in meV per atom: 101
Symmetry: P4/mbm, No. 127
Formation enthalpy at 0 K in meV per atom: -114

***

DFT (PBE) results for Li7Tl2Ga after structural relaxation.

```
Li7Tl2Ga
1.0
4.6163 0.0000 0.0000
-2.3082 3.9979 0.0000
0.0000 0.0000 10.2754
Li Tl Ga
7 2 1
Cartesian
0.0000 0.0000 0.0000
0.0000 0.0000 2.4323
0.0000 0.0000 4.9249
0.0000 2.6652 0.7147
0.0000 2.6652 6.7808
2.3082 1.3326 5.5034
2.3082 1.3326 8.8996
0.0000 0.0000 7.6161
0.0000 2.6652 3.6618
2.3082 1.3326 1.6878
```

Computed properties:
Symmetry: P3m1, No. 156
Formation enthalpy at 0 K in meV per atom: -138

***

DFT (PBE) results for LiTl2Ga after structural relaxation.

```
LiTl2Ga
1.0
3.3546 0.0000 0.0000
-1.6773 2.9052 0.0000
0.0000 0.0000 32.2146
Li Tl Ga
3 6 3
Cartesian
0.0000 0.0000 0.0000
0.0000 1.9368 21.4764
1.6773 0.9684 10.7382
0.0000 0.0000 2.7907
0.0000 0.0000 29.4239
0.0000 1.9368 18.6857
0.0000 1.9368 24.2671
1.6773 0.9684 7.9475
1.6773 0.9684 13.5289
0.0000 0.0000 16.1073
0.0000 1.9368 5.3691
1.6773 0.9684 26.8455
```

Computed properties:
Energy above the lowest structure with this stoichiometry in meV per atom: 146
Symmetry: R-3m, No. 166
Formation enthalpy at 0 K in meV per atom: 92